[1]
DFT (PBE-GGA) results for crystalline Tb3ZnRh4 at its relaxed geometry.

abc: 4.722 4.722 6.672
angles: 90.00 90.00 90.00
Positions (direct):
Tb1 0.000 0.000 0.000
Tb2 0.000 0.000 0.500
Tb3 0.500 0.500 0.000
Zn1 0.500 0.500 0.500
Rh1 0.000 0.500 0.258
Rh2 0.000 0.500 0.742
Rh3 0.500 0.000 0.258
Rh4 0.500 0.000 0.742

Properties
Calculated total energy ... -6.288 eV/atom
ΔE_f ... -717 meV/atom



[2]
DFT (PBE-GGA) results for crystalline Tb6ZnRh5 at its relaxed geometry.

abc: 8.497 8.497 8.497
angles: 146.59 131.86 59.86
Positions (direct):
Tb1 0.078 0.331 0.747
Tb2 0.242 0.000 0.242
Tb3 0.416 0.669 0.747
Tb4 0.584 0.331 0.253
Tb5 0.758 0.000 0.758
Tb6 0.922 0.669 0.253
Zn1 0.500 0.500 0.000
Rh1 0.000 0.500 0.500
Rh2 0.167 0.167 0.000
Rh3 0.335 0.835 0.500
Rh4 0.665 0.165 0.500
Rh5 0.833 0.833 0.000

Properties
Calculated total energy ... -6.245 eV/atom
ΔE_f ... -761 meV/atom



[3]
DFT (PBE-GGA) results for crystalline TbZn2Rh at its relaxed geometry.

abc: 4.621 4.621 4.621
angles: 60.00 60.00 60.00
Positions (direct):
Tb1 0.000 0.000 0.000
Zn1 0.250 0.250 0.250
Zn2 0.750 0.750 0.750
Rh1 0.500 0.500 0.500

Properties
Calculated total energy ... -4.038 eV/atom
ΔE_f ... -406 meV/atom